# PBE-GGA Ce2TlPt9, relaxed
data_Ce2TlPt9
_cell_length_a 5.4530
_cell_length_b 5.4530
_cell_length_c 26.7843
_cell_angle_alpha 90.00
_cell_angle_beta 90.00
_cell_angle_gamma 120.00
_symmetry_space_group_name_H-M 'R -3 m'
_symmetry_Int_Tables_number 166
_symmetry_space_group_name_Hall '-R 3 2"'
loop_
_atom_site_label
_atom_site_type_symbol
_atom_site_fract_x
_atom_site_fract_y
_atom_site_fract_z
Ce1 Ce 0.0000 0.0000 0.1363
Tl1 Tl 0.0000 0.0000 0.0000
Pt1 Pt 0.0000 0.0000 0.3320
Pt2 Pt 0.0000 0.0000 0.5000
Pt3 Pt 0.0043 0.5021 0.9142
# energy of formation from the pure elements: -0.614 eV/atom
# DFT total energy: -6.33 eV per atom
# total magnetization: 1.112 μB per formula unit